Here is a geometry-optimized PmDy2PaN4 structure from Alexandria via LeMat-Bulk. Energies are from GGA-PBE.

Cell: 3.5251 6.0875 6.0499 Å, 109.23 90.00 90.00°
Element x y z (fractional)
N 0.5000 0.2357 0.2446
Pa 0.0000 0.0000 0.0000
Dy 0.5000 0.0000 0.5000
N 0.0000 0.2302 0.7537
N 0.0000 0.7698 0.2463
N 0.5000 0.7643 0.7554
Dy 0.0000 0.5000 0.5000
Pm 0.5000 0.5000 0.0000

Properties
density of states at the Fermi level = 3.61 states/eV/cell
ΔE_f (raw) = -1.6393 eV per atom

Here is a geometry-optimized LaTmCd6 structure from Alexandria via LeMat-Bulk. Energies are from GGA-PBE.

Cell: 5.1704 5.1685 7.2315 Å, 90.00 90.00 90.00°
Element x y z (fractional)
La 0.0000 0.7488 0.0000
Cd 0.0000 0.7482 0.5000
Cd 0.5000 0.2508 0.0000
Cd 0.0000 0.2484 0.7359
Tm 0.5000 0.2517 0.5000
Cd 0.0000 0.2484 0.2641
Cd 0.5000 0.7518 0.7358
Cd 0.5000 0.7518 0.2642

Properties
energy relative to the elements = -26 kJ per mole of atoms
density of states at the Fermi level = 3.52 states/eV/cell

Here is a geometry-optimized Sr2La4H structure from Alexandria via LeMat-Bulk. Energies are from GGA-PBE.

Cell: 5.2898 5.2898 10.2049 Å, 74.98 74.98 90.00°
Element x y z (fractional)
Sr 0.6632 0.6632 0.6737
Sr 0.3368 0.3368 0.3263
La 0.5000 0.0000 0.0000
La 0.1319 0.1319 0.7363
H 0.0000 0.0000 0.0000
La 0.0000 0.5000 0.0000
La 0.8681 0.8681 0.2637

Properties
density of states at the Fermi level = 10.44 states/eV/cell
total energy = -25.67 eV for the cell shown

Here is a geometry-optimized Sr2IBr3 structure from Alexandria via LeMat-Bulk. Energies are from GGA-PBE.

Cell: 9.3517 9.3517 8.7896 Å, 57.86 57.86 60.00°
Element x y z (fractional)
Br 0.7367 0.2404 0.7826
Br 0.2633 0.7596 0.2174
I 0.2417 0.2417 0.2750
Br 0.2404 0.7367 0.7826
Sr 0.0000 0.5000 0.0000
Br 0.7596 0.7596 0.2174
Sr 0.5000 0.0000 0.0000
Sr 0.5000 0.5000 0.0000
I 0.7583 0.7583 0.7250
Sr 0.0000 0.0000 0.0000
Br 0.2404 0.2404 0.7826
Br 0.7596 0.2633 0.2174

Properties
density of states at the Fermi level = 0.00 states/eV/cell
ΔE_f (raw) = -2.0086 eV per atom

Here is a geometry-optimized CaF structure from Alexandria via LeMat-Bulk. Energies are from GGA-PBE.

Cell: 3.8826 5.8255 11.5812 Å, 90.00 90.00 90.00°
Element x y z (fractional)
Ca 0.5000 0.2310 0.6794
Ca 0.5000 0.2310 0.3206
F 0.0000 0.0090 0.6491
Ca 0.0000 0.7240 0.5000
F 0.0000 0.6404 0.0000
Ca 0.5000 0.2760 0.0000
F 0.0000 0.0090 0.3509
Ca 0.0000 0.7690 0.1794
F 0.5000 0.9910 0.1491
Ca 0.0000 0.7690 0.8206
F 0.5000 0.3596 0.5000
F 0.5000 0.9910 0.8509

Properties
density of states at the Fermi level = 3.92 states/eV/cell
ΔE_f (raw) = -2.7729 eV per atom

Here is a geometry-optimized KInPb2I8 structure from Alexandria via LeMat-Bulk. Energies are from GGA-PBE.

Cell: 7.7105 7.3062 9.6907 Å, 89.92 89.99 88.43°
Element x y z (fractional)
Pb 0.4997 0.5002 0.2442
I 0.6413 0.7269 0.4998
I 0.3274 0.2298 0.0004
Pb 0.5003 0.4998 0.7558
I 0.6726 0.7702 0.9996
In 0.0000 0.0000 0.0000
I 0.8522 0.2407 0.2158
I 0.3587 0.2731 0.5002
I 0.1468 0.7583 0.2163
I 0.1478 0.7593 0.7842
K 0.0000 0.0000 0.5000
I 0.8532 0.2417 0.7837

Properties
ΔE_f (raw) = -0.6716 eV per atom

Here is a geometry-optimized Cs2TlCdBr4 structure from Alexandria via LeMat-Bulk. Energies are from GGA-PBE.

Cell: 5.7410 8.9702 15.7904 Å, 86.67 79.53 71.34°
Element x y z (fractional)
Cs 0.1614 0.0000 0.6773
Cs 0.5886 0.5000 0.8227
Br 0.5342 0.2704 0.6275
Cd 0.5000 0.0000 0.0000
Br 0.9118 0.7704 0.8725
Br 0.5547 0.2296 0.1275
Br 0.8382 0.7296 0.6275
Cs 0.8386 0.0000 0.3227
Cs 0.9114 0.5000 0.1773
Br 0.2158 0.2296 0.8725
Br 0.4322 0.7296 0.3725
Tl 0.7500 0.5000 0.5000
Tl 0.0000 0.0000 0.0000
Cd 0.2500 0.5000 0.5000
Br 0.1953 0.2704 0.3725
Br 0.3178 0.7704 0.1275

Properties
density of states at the Fermi level = 5.96 states/eV/cell
ΔE_f (raw) = -1.0810 eV per atom

Here is a geometry-optimized PuTlHg2F6 structure from Alexandria via LeMat-Bulk. Energies are from GGA-PBE.

Cell: 7.0411 7.0411 7.0411 Å, 60.00 60.00 60.00°
Last column: magnetic moment on the atom in μB.
Element x y z (fractional)
F 0.2100 0.2100 0.7900  -0.04
F 0.2100 0.7900 0.7900  -0.04
F 0.7900 0.7900 0.2100  -0.04
F 0.7900 0.2100 0.2100  -0.04
Hg 0.7500 0.7500 0.7500  -0.06
Hg 0.2500 0.2500 0.2500  -0.06
F 0.2100 0.7900 0.2100  -0.04
F 0.7900 0.2100 0.7900  -0.04
Pu 0.0000 0.0000 0.0000  3.42
Tl 0.5000 0.5000 0.5000  -0.01

Properties
density of states at the Fermi level = 17.46 states/eV/cell
ΔE_f (raw) = -2.2724 eV per atom

Here is a geometry-optimized Cr3Rh structure from Alexandria via LeMat-Bulk. Energies are from GGA-PBE.

Cell: 6.5377 3.8154 8.4111 Å, 90.00 166.34 90.00°
Element x y z (fractional)
Cr 0.0268 0.0000 0.0450
Cr 0.7500 0.5000 0.0000
Cr 0.4732 0.0000 0.9550
Rh 0.2500 0.5000 0.0000

Properties
energy relative to the elements = 10 kJ per mole of atoms
density of states at the Fermi level = 4.74 states/eV/cell

Here is a geometry-optimized GdYBi2 structure from Alexandria via LeMat-Bulk. Energies are from GGA-PBE.

Cell: 4.5019 4.5019 7.7940 Å, 73.21 73.21 60.00°
Last column: magnetic moment on the atom in μB.
Element x y z (fractional)
Gd 0.0000 0.0000 0.0000  6.98
Bi 0.7505 0.7505 0.7486  -0.02
Bi 0.2495 0.2495 0.2514  -0.02
Y 0.5000 0.5000 0.5000  -0.01

Properties
energy relative to the elements = -87 kJ per mole of atoms
density of states at the Fermi level = 2.65 states/eV/cell

Here is a geometry-optimized Mg2CuSbPd4 structure from Alexandria via LeMat-Bulk. Energies are from GGA-PBE.

Cell: 4.4975 4.4975 7.8185 Å, 73.28 73.28 60.00°
Element x y z (fractional)
Pd 0.1257 0.1257 0.6229
Sb 0.0000 0.0000 0.0000
Cu 0.5000 0.5000 0.5000
Pd 0.6220 0.6220 0.1340
Pd 0.3780 0.3780 0.8660
Mg 0.2448 0.2448 0.2655
Pd 0.8743 0.8743 0.3771
Mg 0.7552 0.7552 0.7345

Properties
density of states at the Fermi level = 3.95 states/eV/cell
ΔE_f (raw) = -0.5343 eV per atom

Here is a geometry-optimized CsZnSbTeHO structure from Alexandria via LeMat-Bulk. Energies are from GGA-PBE.

Cell: 4.4536 5.4485 7.5547 Å, 106.48 102.20 93.83°
Element x y z (fractional)
Te 0.2954 0.1324 0.3553
Zn 0.7259 0.0597 0.1477
Cs 0.9215 0.7542 0.6520
Sb 0.3584 0.5146 0.0633
H 0.7281 0.3865 0.1203
O 0.5414 0.7504 0.9371

Properties
density of states at the Fermi level = 1.27 states/eV/cell
total energy = -21.03 eV for the cell shown

Here is a geometry-optimized HfSbPO2 structure from Alexandria via LeMat-Bulk. Energies are from GGA-PBE.

Cell: 4.0346 4.0346 5.4187 Å, 90.00 90.00 90.00°
Element x y z (fractional)
O 0.0000 0.5000 0.0000
P 0.0000 0.0000 0.5000
O 0.5000 0.0000 0.0000
Hf 0.0000 0.0000 0.0000
Sb 0.5000 0.5000 0.5000

Properties
density of states at the Fermi level = 0.71 states/eV/cell
ΔE_f (raw) = -1.4802 eV per atom

Here is a geometry-optimized Ti2ReSi4 structure from Alexandria via LeMat-Bulk. Energies are from GGA-PBE.

Cell: 4.6183 4.6183 7.0158 Å, 70.78 70.78 90.00°
Element x y z (fractional)
Si 0.5000 0.0000 0.0000
Re 0.0000 0.0000 0.0000
Si 0.8031 0.8031 0.3937
Si 0.1969 0.1969 0.6063
Ti 0.3966 0.3966 0.2068
Si 0.0000 0.5000 0.0000
Ti 0.6034 0.6034 0.7932

Properties
density of states at the Fermi level = 4.56 states/eV/cell
ΔE_f (raw) = 0.3096 eV per atom

Here is a geometry-optimized AcLa14Pm structure from Alexandria via LeMat-Bulk. Energies are from GGA-PBE.

Cell: 7.5367 7.5367 12.1780 Å, 90.00 90.00 120.06°
Element x y z (fractional)
La 0.1691 0.3367 0.5000
La 0.3334 0.6666 0.2473
La 0.3334 0.6666 0.7527
La 0.6669 0.3331 0.5000
La 0.3304 0.1652 0.2512
La 0.6633 0.8309 0.5000
La 0.8351 0.1649 0.2530
La 0.1681 0.8319 0.5000
La 0.6679 0.8354 0.0000
La 0.3304 0.1652 0.7488
La 0.8348 0.6696 0.7488
La 0.8348 0.6696 0.2512
La 0.8351 0.1649 0.7470
Ac 0.6671 0.3329 0.0000
La 0.1646 0.3321 0.0000
Pm 0.1656 0.8344 0.0000

Properties
energy relative to the elements = 3 kJ per mole of atoms
density of states at the Fermi level = 29.21 states/eV/cell

Here is a geometry-optimized ZnCrMo2Cl structure from Alexandria via LeMat-Bulk. Energies are from GGA-PBE.

Cell: 4.6163 4.2752 4.6163 Å, 90.00 90.00 90.00°
Element x y z (fractional)
Mo 0.0000 0.0000 0.5000
Cl 0.0000 0.5000 0.0000
Cr 0.0000 0.0000 0.0000
Zn 0.5000 0.5000 0.5000
Mo 0.5000 0.0000 0.0000

Properties
density of states at the Fermi level = 6.60 states/eV/cell
ΔE_f (raw) = 1.2679 eV per atom

Here is a geometry-optimized In2Pd2Au structure from Alexandria via LeMat-Bulk. Energies are from GGA-PBE.

Cell: 4.1175 4.1175 6.7324 Å, 72.19 72.19 90.00°
Element x y z (fractional)
In 0.7500 0.2500 0.5000
Au 0.0000 0.0000 0.0000
Pd 0.3947 0.3947 0.2107
In 0.2500 0.7500 0.5000
Pd 0.6053 0.6053 0.7893

Properties
energy relative to the elements = -6 kJ per mole of atoms
density of states at the Fermi level = 1.33 states/eV/cell

Here is a geometry-optimized OsBr2 structure from Alexandria via LeMat-Bulk. Energies are from GGA-PBE.

Cell: 6.9277 6.9277 6.1271 Å, 90.00 90.00 120.00°
Last column: magnetic moment on the atom in μB.
Element x y z (fractional)
Br 0.3075 0.0000 0.0000  -0.04
Os 0.0000 0.0000 0.5000  2.47
Br 0.0000 0.3075 0.0000  -0.04
Os 0.3333 0.6667 0.0000  -1.33
Os 0.6667 0.3333 0.0000  -1.33
Br 0.6925 0.6925 0.0000  -0.04
Br 0.0000 0.6540 0.5000  0.12
Br 0.6540 0.0000 0.5000  0.12
Br 0.3460 0.3460 0.5000  0.12

Properties
density of states at the Fermi level = 5.41 states/eV/cell
ΔE_f (raw) = 1.0357 eV per atom

Here is a geometry-optimized Na2Li2BiO6 structure from Alexandria via LeMat-Bulk. Energies are from GGA-PBE.

Cell: 5.4226 5.4226 5.4913 Å, 90.00 90.00 120.00°
Last column: magnetic moment on the atom in μB.
Element x y z (fractional)
Na 0.3333 0.6667 0.4999  0.00
Na 0.6667 0.3333 0.5001  0.00
O 0.3375 0.0000 0.7957  0.42
O 0.6625 0.0000 0.2043  0.42
O 0.0000 0.3375 0.7957  0.42
Li 0.3333 0.6667 0.9999  -0.01
O 0.6625 0.6625 0.7957  0.42
Li 0.6667 0.3333 0.0001  -0.01
O 0.3375 0.3375 0.2043  0.42
Bi 0.0000 0.0000 0.0000  -0.07
O 0.0000 0.6625 0.2043  0.42

Properties
density of states at the Fermi level = 7.33 states/eV/cell
ΔE_f (raw) = -1.0047 eV per atom

Here is a geometry-optimized Ca2Pd2Au structure from Alexandria via LeMat-Bulk. Energies are from GGA-PBE.

Cell: 7.3272 7.3272 4.0637 Å, 90.00 90.00 90.00°
Element x y z (fractional)
Pd 0.8681 0.6319 0.0000
Au 0.0000 0.0000 0.0000
Ca 0.8260 0.3260 0.5000
Ca 0.3260 0.1740 0.5000
Pd 0.1319 0.3681 0.0000
Au 0.5000 0.5000 0.0000
Ca 0.1740 0.6740 0.5000
Pd 0.6319 0.1319 0.0000
Ca 0.6740 0.8260 0.5000
Pd 0.3681 0.8681 0.0000

Properties
energy relative to the elements = -67 kJ per mole of atoms
density of states at the Fermi level = 3.84 states/eV/cell

Here is a geometry-optimized MgSc2Cu2 structure from Alexandria via LeMat-Bulk. Energies are from GGA-PBE.

Cell: 5.0480 5.0480 5.2733 Å, 61.40 61.40 90.00°
Element x y z (fractional)
Mg 0.0000 0.0000 0.0000
Cu 0.3566 0.3566 0.2867
Sc 0.2500 0.7500 0.5000
Cu 0.6434 0.6434 0.7133
Sc 0.7500 0.2500 0.5000

Properties
energy relative to the elements = -2 kJ per mole of atoms
density of states at the Fermi level = 0.44 states/eV/cell

Here is a geometry-optimized La2BiBr structure from Alexandria via LeMat-Bulk. Energies are from GGA-PBE.

Cell: 4.3903 7.6062 8.5327 Å, 100.14 104.91 89.99°
Element x y z (fractional)
Bi 0.9466 0.8360 0.4678
Br 0.4755 0.3105 0.5254
La 0.3196 0.0129 0.2138
Bi 0.7143 0.7236 0.0031
Br 0.1853 0.2491 0.9455
La 0.3413 0.5467 0.2571
La 0.0751 0.5496 0.7251
La 0.5857 0.0099 0.7458

Properties
density of states at the Fermi level = 4.42 states/eV/cell
ΔE_f (raw) = -1.1619 eV per atom

Here is a geometry-optimized ScCd2Br structure from Alexandria via LeMat-Bulk. Energies are from GGA-PBE.

Cell: 8.6865 8.6865 6.7548 Å, 49.99 49.99 90.00°
Element x y z (fractional)
Cd 0.3750 0.3936 0.7500
Br 0.7500 0.2500 0.5000
Sc 0.5000 0.5000 0.0000
Cd 0.1436 0.6250 0.2500
Br 0.0000 0.0000 0.0000
Cd 0.6064 0.1250 0.2500
Sc 0.2500 0.7500 0.5000
Cd 0.8750 0.8564 0.7500

Properties
density of states at the Fermi level = 6.99 states/eV/cell
ΔE_f (raw) = -0.1721 eV per atom

Here is a geometry-optimized NpReP2 structure from Alexandria via LeMat-Bulk. Energies are from GGA-PBE.

Cell: 3.3294 3.3299 6.8953 Å, 103.98 103.97 90.00°
Last column: magnetic moment on the atom in μB.
Element x y z (fractional)
P 0.8481 0.5084 0.4816  0.06
P 0.5943 0.2542 0.9748  0.06
Np 0.2215 0.8810 0.2282  -3.54
Re 0.4713 0.6310 0.7282  -0.04

Properties
energy relative to the elements = -29 kJ per mole of atoms
density of states at the Fermi level = 4.89 states/eV/cell